This record from Alexandria via LeMat-Bulk describes an optimized crystal structure of Ce5CS4. The functional is GGA-PBE.

It has space group I4/mmm (No. 139), with a = 3.9692 Å, b = 3.9692 Å, c = 27.9034 Å, α = 90.00°, β = 90.00° and γ = 90.00°. The distinct sites, in fractional coordinates, are Ce at (0.0000, 0.0000, 0.0000), Ce at (0.0000, 0.0000, 0.1999), Ce at (0.0000, 0.0000, 0.4089), C at (0.0000, 0.0000, 0.5000), S at (0.0000, 0.0000, 0.0991) and S at (0.0000, 0.0000, 0.3027).

The calculation puts the uncorrected formation energy at -1.634 eV/atom. As for the total energy: -7.174 eV per atom.